No. 1
Below is CeGa2Ni2Ge after structural relaxation, with properties calculated at the GGA-PBE level.

CIF file:
```
data_CeGa2Ni2Ge
_cell_length_a 4.3979
_cell_length_b 4.3979
_cell_length_c 5.6322
_cell_angle_alpha 90.00
_cell_angle_beta 90.00
_cell_angle_gamma 90.00
_symmetry_space_group_name_H-M 'P 4/m m m'
_symmetry_Int_Tables_number 123
_symmetry_space_group_name_Hall '-P 4 2'
loop_
_atom_site_label
_atom_site_fract_x
_atom_site_fract_y
_atom_site_fract_z
Ce1 0.0000 0.0000 0.0000
Ga1 0.5000 0.5000 0.2421
Ni1 0.0000 0.5000 0.5000
Ge1 0.0000 0.0000 0.5000
```

Density in g cm⁻³: 7.16
Magnetization in μB per formula unit: 1.1
Energy of formation in kJ/mol of formula units: -171
Total energy in eV per atom: -4.989

No. 2
Below is CePaGaGe after structural relaxation, with properties calculated at the GGA-PBE level.

CIF file:
```
data_CePaGaGe
_cell_length_a 7.1769
_cell_length_b 7.1769
_cell_length_c 7.1769
_cell_angle_alpha 90.00
_cell_angle_beta 90.00
_cell_angle_gamma 90.00
_symmetry_space_group_name_H-M 'F -4 3 m'
_symmetry_Int_Tables_number 216
_symmetry_space_group_name_Hall 'F -4 2 3'
loop_
_atom_site_label
_atom_site_fract_x
_atom_site_fract_y
_atom_site_fract_z
Ce1 0.0000 0.0000 0.0000
Pa1 0.0000 0.0000 0.5000
Ga1 0.2500 0.2500 0.7500
Ge1 0.2500 0.2500 0.2500
```

Density in g cm⁻³: 9.23
Magnetization in μB per formula unit: 2.7
Energy of formation in kJ/mol of formula units: -117
Total energy in eV per atom: -6.072

No. 3
Below is Ce3GaGe6Pd2 after structural relaxation, with properties calculated at the GGA-PBE level.

CIF file:
```
data_Ce3GaGe6Pd2
_cell_length_a 5.8620
_cell_length_b 5.8620
_cell_length_c 8.5231
_cell_angle_alpha 90.00
_cell_angle_beta 90.00
_cell_angle_gamma 120.00
_symmetry_space_group_name_H-M 'P -3 m 1'
_symmetry_Int_Tables_number 164
_symmetry_space_group_name_Hall '-P 3 2"'
loop_
_atom_site_label
_atom_site_fract_x
_atom_site_fract_y
_atom_site_fract_z
Ce1 0.0000 0.0000 0.0000
Ce2 0.3333 0.6667 0.6077
Ga1 0.0000 0.0000 0.5000
Ge1 0.1845 0.3690 0.2713
Pd1 0.3333 0.6667 0.0168
```

Density in g cm⁻³: 7.46
Magnetization in μB per formula unit: 2.5
Energy of formation in kJ/mol of formula units: -453
Total energy in eV per atom: -5.301

No. 4
Below is Ce2Ga4GePd3 after structural relaxation, with properties calculated at the GGA-PBE level.

CIF file:
```
data_Ce2Ga4GePd3
_cell_length_a 4.3124
_cell_length_b 4.3124
_cell_length_c 10.4537
_cell_angle_alpha 90.00
_cell_angle_beta 90.00
_cell_angle_gamma 90.00
_symmetry_space_group_name_H-M 'P -4 m 2'
_symmetry_Int_Tables_number 115
_symmetry_space_group_name_Hall 'P -4 -2'
loop_
_atom_site_label
_atom_site_fract_x
_atom_site_fract_y
_atom_site_fract_z
Ce1 0.0000 0.5000 0.2461
Ga1 0.0000 0.0000 0.0000
Ga2 0.0000 0.5000 0.6378
Ga3 0.5000 0.5000 0.0000
Ge1 0.0000 0.0000 0.5000
Pd1 0.0000 0.5000 0.8711
Pd2 0.5000 0.5000 0.5000
```

Density in g cm⁻³: 8.12
Magnetization in μB per formula unit: 1.2
Energy of formation in kJ/mol of formula units: -664
Total energy in eV per atom: -5.105

No. 5
Below is Ce2Ga4Ge2Pd after structural relaxation, with properties calculated at the GGA-PBE level.

CIF file:
```
data_Ce2Ga4Ge2Pd
_cell_length_a 6.2629
_cell_length_b 6.2629
_cell_length_c 9.1024
_cell_angle_alpha 90.00
_cell_angle_beta 90.00
_cell_angle_gamma 90.00
_symmetry_space_group_name_H-M 'I 4/m m m'
_symmetry_Int_Tables_number 139
_symmetry_space_group_name_Hall '-I 4 2'
loop_
_atom_site_label
_atom_site_fract_x
_atom_site_fract_y
_atom_site_fract_z
Ce1 0.0000 0.5000 0.2500
Ga1 0.2144 0.2144 0.0000
Ge1 0.0000 0.0000 0.2195
Pd1 0.0000 0.0000 0.5000
```

Density in g cm⁻³: 7.54
Magnetization in μB per formula unit: 1.6
Energy of formation in kJ/mol of formula units: -523
Total energy in eV per atom: -4.869

No. 6
Below is Ce2GaGe3Pd4 after structural relaxation, with properties calculated at the GGA-PBE level.

CIF file:
```
data_Ce2GaGe3Pd4
_cell_length_a 4.3363
_cell_length_b 4.3363
_cell_length_c 10.1870
_cell_angle_alpha 90.00
_cell_angle_beta 90.00
_cell_angle_gamma 90.00
_symmetry_space_group_name_H-M 'P -4 m 2'
_symmetry_Int_Tables_number 115
_symmetry_space_group_name_Hall 'P -4 -2'
loop_
_atom_site_label
_atom_site_fract_x
_atom_site_fract_y
_atom_site_fract_z
Ce1 0.0000 0.5000 0.2492
Ga1 0.5000 0.5000 0.0000
Ge1 0.0000 0.0000 0.0000
Ge2 0.0000 0.5000 0.6300
Pd1 0.0000 0.0000 0.5000
Pd2 0.0000 0.5000 0.8706
Pd3 0.5000 0.5000 0.5000
```

Density in g cm⁻³: 8.61
Magnetization in μB per formula unit: 1.5
Energy of formation in kJ/mol of formula units: -763
Total energy in eV per atom: -5.743

The lowest magnetization belongs to which entry?
CeGa2Ni2Ge

The highest magnetization belongs to which entry?
CePaGaGe